SmHo2Tl2Zn2: relaxed, PBE.

The formation energy from the elements comes out at -0.16 eV/atom. For the theoretical density, the calculation gives 9.54 g/cm3. The calculated volume comes out at 25.357 A^3/atom.

It has space group R-3m (No. 166, hexagonal axes), with a = 4.7727 Å, b = 4.7727 Å, c = 26.9936 Å, α = 90.00°, β = 90.00° and γ = 120.00°. The distinct sites, in fractional coordinates, are Sm at (0.0000, 0.0000, 0.0000), Ho at (0.0000, 0.0000, 0.1303), Tl at (0.0000, 0.0000, 0.2652) and Zn at (0.0000, 0.0000, 0.4217).

TaCo2Br: relaxed, PBE.

For the energy relative to the elements, uncorrected, the calculation gives 0.6304 eV per atom. Its energy above the most stable polymorph in this dataset is 486 meV per atom. For the theoretical density, the calculation gives 10.86 g/cm3. The calculated volume comes out at 14.474 A^3/atom.

It has space group Imm2 (No. 44), with a = 3.049 Å, b = 4.285 Å, c = 8.864 Å, α = 90.00°, β = 90.00° and γ = 90.00°. The distinct sites, in fractional coordinates, are Ta at (0.000, 0.000, 0.000), Co at (0.000, 0.000, 0.484), Co at (0.000, 0.500, 0.216) and Br at (0.000, 0.500, 0.753).

KAs2Pb3: relaxed, PBE.

The formation energy from the elements comes out at -0.13 eV/atom. For the theoretical density, the calculation gives 6.90 g/cm3. The calculated volume comes out at 32.534 A^3/atom.

It has space group C2/m (No. 12), with a = 17.983 Å, b = 4.151 Å, c = 11.028 Å, α = 90.00°, β = 108.48° and γ = 90.00°. The distinct sites, in fractional coordinates, are K at (0.101, 0.000, 0.134), As at (0.047, 0.500, 0.846), As at (0.237, 0.000, 0.686), Pb at (0.053, 0.000, 0.667), Pb at (0.165, 0.500, 0.499) and Pb at (0.207, 0.500, 0.880).

SrTcRh: relaxed, PBE.

The formation energy from the elements comes out at 0.16 eV/atom. Its energy above the most stable polymorph in this dataset is 65 meV per atom. For the theoretical density, the calculation gives 7.05 g/cm3. The calculated volume comes out at 22.669 A^3/atom.

It has space group Pm (No. 6), with a = 5.414 Å, b = 4.163 Å, c = 6.167 Å, α = 90.00°, β = 101.85° and γ = 90.00°. The distinct sites, in fractional coordinates, are Sr at (0.000, 0.000, 0.000), Sr at (0.469, 0.500, 0.831), Tc at (0.349, 0.500, 0.328), Tc at (0.598, 0.000, 0.436), Rh at (0.126, 0.000, 0.505) and Rh at (0.842, 0.500, 0.335).

LiAs2Pd: relaxed, PBE.

The formation energy from the elements comes out at -0.36 eV/atom. Its energy above the most stable polymorph in this dataset is 50 meV per atom. For the theoretical density, the calculation gives 5.69 g/cm3. The calculated volume comes out at 19.209 A^3/atom.

It has space group Immm (No. 71), with a = 4.188 Å, b = 8.407 Å, c = 17.459 Å, α = 90.00°, β = 90.00° and γ = 90.00°. The distinct sites, in fractional coordinates, are Li at (0.000, 0.000, 0.164), Li at (0.000, 0.226, 0.000), As at (0.000, 0.000, 0.434), As at (0.000, 0.343, 0.215), As at (0.000, 0.500, 0.431) and Pd at (0.000, 0.246, 0.356).

Zr3TaH6: relaxed, PBE.

Its electronic total energy is -0.4528 Ry per atom. For the theoretical density, the calculation gives 7.48 g/cm3. The calculated volume comes out at 10.228 A^3/atom.

It has space group R-3 (No. 148, hexagonal axes), with a = 8.3248 Å, b = 8.3248 Å, c = 10.2247 Å, α = 90.00°, β = 90.00° and γ = 120.00°. The distinct sites, in fractional coordinates, are Zr at (0.0021, 0.2526, 0.2481), Ta at (0.0000, 0.0000, 0.0000), Ta at (0.0000, 0.0000, 0.5000), H at (0.0040, 0.1527, 0.8572) and H at (0.0475, 0.2408, 0.4428).

NaSi4Pd6: relaxed, PBE.

For the energy relative to the elements, uncorrected, the calculation gives -0.6038 eV per atom. For the theoretical density, the calculation gives 7.55 g/cm3. The calculated volume comes out at 15.475 A^3/atom.

It has space group P-6m2 (No. 187), with a = 7.2599 Å, b = 7.2599 Å, c = 3.7293 Å, α = 90.00°, β = 90.00° and γ = 120.00°. The distinct sites, in fractional coordinates, are Na at (0.0000, 0.0000, 0.0000), Si at (0.3333, 0.6667, 0.0000), Si at (0.3797, 0.1899, 0.5000), Pd at (0.1983, 0.3966, 0.5000) and Pd at (0.5352, 0.0704, 0.0000).

AlSbMo2: relaxed, PBE.

For the energy relative to the elements, uncorrected, the calculation gives 0.2923 eV per atom. Its energy above the most stable polymorph in this dataset is 347 meV per atom. For the theoretical density, the calculation gives 8.10 g/cm3. The calculated volume comes out at 17.465 A^3/atom.

It has space group R-3m (No. 166, hexagonal axes), with a = 3.0649 Å, b = 3.0649 Å, c = 25.7623 Å, α = 90.00°, β = 90.00° and γ = 120.00°. The distinct sites, in fractional coordinates, are Al at (0.0000, 0.0000, 0.0000), Sb at (0.0000, 0.0000, 0.5000) and Mo at (0.0000, 0.0000, 0.2504).

Rb2SnTe: relaxed, PBE.

For the energy relative to the elements, uncorrected, the calculation gives -0.3243 eV per atom. Its energy above the most stable polymorph in this dataset is 0 meV per atom. For the theoretical density, the calculation gives 4.26 g/cm3. The calculated volume comes out at 40.691 A^3/atom.

It has space group Pmmm (No. 47), with a = 3.371 Å, b = 4.508 Å, c = 10.711 Å, α = 90.00°, β = 90.00° and γ = 90.00°. The distinct sites, in fractional coordinates, are Rb at (0.000, 0.000, 0.214), Sn at (0.500, 0.500, 0.500) and Te at (0.500, 0.500, 0.000).

Pr3Ge2Os: relaxed, PBE.

The formation energy from the elements comes out at -0.57 eV/atom. For the theoretical density, the calculation gives 8.09 g/cm3. The calculated volume comes out at 25.925 A^3/atom.

It has space group Pnma (No. 62), with a = 12.249 Å, b = 4.325 Å, c = 11.745 Å, α = 90.00°, β = 90.00° and γ = 90.00°. The distinct sites, in fractional coordinates, are Pr at (0.056, 0.250, 0.127), Pr at (0.119, 0.750, 0.556), Pr at (0.220, 0.250, 0.797), Ge at (0.021, 0.750, 0.312), Ge at (0.194, 0.750, 0.994) and Os at (0.130, 0.250, 0.370).

Zn2HgPt: relaxed, PBE.

The formation energy from the elements comes out at -0.13 eV/atom. For the theoretical density, the calculation gives 13.30 g/cm3. The calculated volume comes out at 16.439 A^3/atom.

It has space group I4/mmm (No. 139), with a = 4.034 Å, b = 4.034 Å, c = 8.081 Å, α = 90.00°, β = 90.00° and γ = 90.00°. The distinct sites, in fractional coordinates, are Zn at (0.000, 0.500, 0.250), Hg at (0.000, 0.000, 0.000) and Pt at (0.000, 0.000, 0.500).

TlZnI2: relaxed, PBE.

For the energy relative to the elements, uncorrected, the calculation gives -0.1370 eV per atom. Its energy above the most stable polymorph in this dataset is 130 meV per atom. For the theoretical density, the calculation gives 6.47 g/cm3. The calculated volume comes out at 33.616 A^3/atom.

It has space group Fm-3m (No. 225), with a = 8.132 Å, b = 8.132 Å, c = 8.132 Å, α = 90.00°, β = 90.00° and γ = 90.00°. The distinct sites, in fractional coordinates, are Tl at (0.000, 0.000, 0.000), Zn at (0.000, 0.000, 0.500) and I at (0.250, 0.250, 0.250).

- theoretical density of number 5 (LiAs2Pd)?
  5.69 g/cm3

- Which of these has the lowest theoretical density?
  Rb2SnTe

- The highest theoretical density belongs to which entry?
  Zn2HgPt